DFT (GGA-PBE) results for a relaxed structure of ZrMn3Ge.

POSCAR file:
```
ZrMn3Ge
1.0
4.9421 0.0000 0.0000
0.0000 4.9421 0.0000
0.0000 0.0000 4.9421
Zr Mn Ge
1 3 1
Cartesian
0.0000 0.0000 0.0000
2.4710 0.0000 0.0000
0.0000 0.0000 2.4710
0.0000 2.4710 0.0000
2.4710 2.4710 2.4710
```

Values from the calculation:
The calculation puts the volume at 24.14 Å³ per atom. The density of states at the Fermi level comes out at 2.959 states/eV per cell. For the formation energy from the elements, the calculation gives 32.8 kcal/mol of atoms.